DFT (GGA-PBE) results for Al2IrOs after structural relaxation.

## Properties
* crystal system: cubic
* energy above the most stable polymorph in this dataset: 0 meV per atom
* SG: Fm-3m, No. 225

Unit cell a=6.034 b=4.263 c=8.527 alpha=90.00 beta=90.00 gamma=90.00
Positions (direct):
Al 0.000 0.750 0.125
Al 0.500 0.750 0.125
Al 0.000 0.250 0.375
Al 0.500 0.250 0.375
Al 0.500 0.750 0.625
Al 0.000 0.750 0.625
Al 0.500 0.250 0.875
Al 0.000 0.250 0.875
Ir 0.750 0.250 0.125
Ir 0.250 0.750 0.375
Ir 0.750 0.250 0.625
Ir 0.250 0.750 0.875
Os 0.250 0.250 0.125
Os 0.750 0.750 0.375
Os 0.250 0.250 0.625
Os 0.750 0.750 0.875